[1]
VASP calculation (PBE-GGA) on a relaxed structure of LiNpSiIr.

The space group is F-43m (No. 216) and the conventional cell measures 6.4323, 6.4323 and 6.4323 Å, with angles of 90.00, 90.00 and 90.00 degrees. The asymmetric unit holds Li at (0.0000, 0.0000, 0.0000), Np at (0.2500, 0.2500, 0.7500), Si at (0.2500, 0.2500, 0.2500) and Ir at (0.0000, 0.0000, 0.5000).

As for the total magnetization: 3.204 μB per formula unit. The raw total energy comes out at -7.507 eV/atom. The formation energy without anion corrections is -0.223 eV/atom.


[2]
VASP calculation (PBE-GGA) on a relaxed structure of RbReO3.

The space group is Pm-3m (No. 221) and the conventional cell measures 4.2566, 4.2566 and 4.2566 Å, with angles of 90.00, 90.00 and 90.00 degrees. The asymmetric unit holds Rb at (0.0000, 0.0000, 0.0000), Re at (0.5000, 0.5000, 0.5000) and O at (0.0000, 0.0000, 0.5000).

As for the total magnetization: 0.464 μB per formula unit. The raw total energy comes out at -3.435 eV/atom. The formation energy without anion corrections is 2.223 eV/atom.


[3]
VASP calculation (PBE-GGA) on a relaxed structure of TaInPt2Rh.

The space group is P4/mmm (No. 123) and the conventional cell measures 4.9536, 4.9536 and 4.7080 Å, with angles of 90.00, 90.00 and 90.00 degrees. The asymmetric unit holds Ta at (0.0000, 0.0000, 0.0000), In at (0.5000, 0.5000, 0.5000), Pt at (0.0000, 0.5000, 0.0000) and Rh at (0.0000, 0.0000, 0.5000).

As for the total magnetization: 0.000 μB per formula unit. The raw total energy comes out at -6.150 eV/atom. As for the formation energy: 0.655 eV/atom.


[4]
VASP calculation (PBE-GGA) on a relaxed structure of Ce2HoEr3As6.

The space group is C2/m (No. 12) and the conventional cell measures 17.9791, 4.1340 and 8.2561 Å, with angles of 90.00, 103.17 and 90.00 degrees. The asymmetric unit holds Ce at (0.1656, 0.0000, 0.3315), Ho at (0.0000, 0.5000, 0.0000), Er at (0.0000, 0.5000, 0.5000), Er at (0.1665, 0.0000, 0.8344), As at (0.0016, 0.0000, 0.7500), As at (0.1653, 0.5000, 0.5872) and As at (0.1667, 0.5000, 0.0789).

As for the total magnetization: 1.239 μB per formula unit. The raw total energy comes out at -6.324 eV/atom. As for the formation energy: -1.488 eV/atom.


[5]
VASP calculation (PBE-GGA) on a relaxed structure of ZnPRhSe.

The space group is P3m1 (No. 156) and the conventional cell measures 3.6585, 3.6585 and 6.3855 Å, with angles of 90.00, 90.00 and 120.00 degrees. The asymmetric unit holds Zn at (0.0000, 0.0000, 0.0000), P at (0.3333, 0.6667, 0.5689), Rh at (0.6667, 0.3333, 0.7099) and Se at (0.3333, 0.6667, 0.2024).

As for the total magnetization: 0.000 μB per formula unit. The raw total energy comes out at -4.704 eV/atom. Its distance to the lowest polymorph of the same formula is 59 meV per atom. The formation energy without anion corrections is -0.324 eV/atom.